Record 1
The following is a PBE calculation of a relaxed structure of NdBiPt10, from the Alexandria database.

a b c (Å): 4.477 5.414 9.310
angles (deg): 90.00 90.00 90.00
Sites, in units of the cell vectors:
Nd (0.000, 0.500, 0.500)
Bi (0.000, 0.000, 0.000)
Pt (0.000, 0.000, 0.329)
Pt (0.000, 0.500, 0.836)
Pt (0.000, 0.500, 0.164)
Pt (0.000, 0.000, 0.671)
Pt (0.500, 0.000, 0.500)
Pt (0.500, 0.500, 0.000)
Pt (0.500, 0.253, 0.253)
Pt (0.500, 0.747, 0.747)
Pt (0.500, 0.747, 0.253)
Pt (0.500, 0.253, 0.747)

Output
Calculated density (g/cm3): 16.96
Volume (Å³ per cell): 225.6
Electronic total energy (eV per atom): -6.1276

***

Record 2
The following is a PBE calculation of a relaxed structure of Sr4Ca3Pt2, from the Alexandria database.

a b c (Å): 4.225 9.740 9.247
angles (deg): 114.72 103.21 90.00
Sites, in units of the cell vectors:
Sr (0.229, 0.640, 0.458)
Sr (0.771, 0.360, 0.542)
Sr (0.623, 0.870, 0.246)
Sr (0.377, 0.130, 0.754)
Ca (0.076, 0.209, 0.152)
Ca (0.924, 0.791, 0.848)
Ca (0.000, 0.500, 0.000)
Pt (0.396, 0.569, 0.791)
Pt (0.604, 0.431, 0.209)

Output
Calculated density (g/cm3): 4.27
Volume (Å³ per cell): 334.6
Electronic total energy (eV per atom): -3.2430

***

Record 3
The following is a PBE calculation of a relaxed structure of BeBi2Pt2, from the Alexandria database.

a b c (Å): 6.193 6.193 5.255
angles (deg): 90.00 90.00 90.00
Sites, in units of the cell vectors:
Be (0.000, 0.000, 0.000)
Be (0.500, 0.500, 0.000)
Bi (0.187, 0.687, 0.500)
Bi (0.687, 0.813, 0.500)
Bi (0.813, 0.313, 0.500)
Bi (0.313, 0.187, 0.500)
Pt (0.343, 0.843, 0.000)
Pt (0.843, 0.657, 0.000)
Pt (0.657, 0.157, 0.000)
Pt (0.157, 0.343, 0.000)

Output
Calculated density (g/cm3): 13.46
Volume (Å³ per cell): 201.6
Electronic total energy (eV per atom): -4.8056